Compound: HoMgHg2
Source: the Alexandria database
Functional: GGA-PBE
Structure: optimized geometry

Results
**Size of the total moment**: 0.00 μB per cell
**V**: 23.13 A^3/atom
**Distance to the lowest polymorph of the same formula**: 0.072 eV per atom
**Energy relative to the elements**: -377 meV/atom

Cell: 3.5459 3.5459 7.3575 Å, 90.00 90.00 90.00°
Last column: nearest neighbours and their distance in Å.
Fractional coordinates of all 4 atoms:
Ho 0.0000 0.0000 0.0000  8 Hg 3.19, 4 Ho 3.55
Mg 0.0000 0.0000 0.5000  8 Hg 3.04
Hg 0.5000 0.5000 0.2674  4 Mg 3.04, 4 Ho 3.19
Hg 0.5000 0.5000 0.7326  4 Mg 3.04, 4 Ho 3.19